(1)
Pr7Dy3Ho: optimized geometry, PBE.

Properties
M_tot = 0.00 μB/f.u.
raw total energy = -49.82 eV/f.u.
D(E_F) = 65.45 states/eV/cell
E above lowest polymorph = 0.00 kcal/mol of atoms
crystal system = monoclinic
calculated formation energy = 0.183 eV/atom

Unit cell a=19.507 b=7.223 c=12.753 alpha=90.00 beta=116.97 gamma=90.00
Space group C2/c (No. 15)
Inequivalent atoms, fractional coordinates:
Pr1 0.000 0.206 0.250
Pr2 0.158 0.496 0.772
Pr3 0.164 0.246 0.022
Pr4 0.167 0.248 0.528
Dy1 0.000 0.500 0.000
Dy2 0.172 0.003 0.273
Ho1 0.000 0.000 0.000

***

(2)
Pr5DyHo4: optimized geometry, PBE.

Properties
M_tot = 0.00 μB/f.u.
raw total energy = -43.98 eV/f.u.
D(E_F) = 29.89 states/eV/cell
E above lowest polymorph = 6.10 kcal/mol of atoms
crystal system = tetragonal
calculated formation energy = 0.283 eV/atom

Unit cell a=10.361 b=10.361 c=6.332 alpha=90.00 beta=90.00 gamma=90.00
Space group I4 (No. 79)
Inequivalent atoms, fractional coordinates:
Pr1 0.000 0.000 0.000
Pr2 0.151 0.770 0.269
Dy1 0.000 0.000 0.540
Ho1 0.043 0.655 0.763

***

(3)
PrDy6Ho6: optimized geometry, PBE.

Properties
M_tot = 2.95 μB/f.u.
raw total energy = -56.28 eV/f.u.
D(E_F) = 26.17 states/eV/cell
crystal system = hexagonal
calculated formation energy = 0.276 eV/atom

Unit cell a=6.6082 b=6.6082 c=11.4393 alpha=90.00 beta=90.00 gamma=120.00
Space group P6/mmm (No. 191)
Inequivalent atoms, fractional coordinates:
Pr1 0.0000 0.0000 0.0000
Dy1 0.0000 0.0000 0.3509
Dy2 0.3333 0.6667 0.0000
Dy3 0.3333 0.6667 0.5000
Ho1 0.0000 0.5000 0.2451

***

(4)
Pr4Dy4Ho3: optimized geometry, PBE.

Properties
M_tot = 0.00 μB/f.u.
raw total energy = -49.91 eV/f.u.
D(E_F) = 36.48 states/eV/cell
E above lowest polymorph = 1.34 kcal/mol of atoms
crystal system = orthorhombic
calculated formation energy = 0.122 eV/atom

Unit cell a=3.621 b=9.474 c=21.831 alpha=90.00 beta=90.00 gamma=90.00
Space group Immm (No. 71)
Inequivalent atoms, fractional coordinates:
Pr1 0.000 0.178 0.145
Dy1 0.000 0.317 0.000
Dy2 0.000 0.500 0.238
Ho1 0.000 0.000 0.394
Ho2 0.000 0.500 0.500

***

(5)
Pr5Dy2Ho3: optimized geometry, PBE.

Properties
M_tot = 0.00 μB/f.u.
raw total energy = -43.17 eV/f.u.
D(E_F) = 56.96 states/eV/cell
E above lowest polymorph = 4.41 kcal/mol of atoms
crystal system = orthorhombic
calculated formation energy = 0.366 eV/atom

Unit cell a=9.473 b=13.737 c=11.033 alpha=90.00 beta=90.00 gamma=90.00
Space group Ibam (No. 72)
Inequivalent atoms, fractional coordinates:
Pr1 0.000 0.000 0.250
Pr2 0.000 0.254 0.250
Pr3 0.105 0.129 0.000
Dy1 0.087 0.382 0.500
Ho1 0.000 0.500 0.250
Ho2 0.249 0.123 0.500

***

(6)
Pr2Dy12Ho5: optimized geometry, PBE.

Properties
M_tot = 0.00 μB/f.u.
raw total energy = -85.60 eV/f.u.
D(E_F) = 55.03 states/eV/cell
E above lowest polymorph = 0.00 kcal/mol of atoms
crystal system = monoclinic
calculated formation energy = 0.109 eV/atom

Unit cell a=17.737 b=11.557 c=6.118 alpha=90.00 beta=103.24 gamma=90.00
Space group C2/m (No. 12)
Inequivalent atoms, fractional coordinates:
Pr1 0.000 0.221 0.000
Dy1 0.058 0.500 0.280
Dy2 0.103 0.249 0.614
Dy3 0.125 0.000 0.994
Dy4 0.201 0.255 0.204
Ho1 0.000 0.000 0.500
Ho2 0.176 0.500 0.861
Ho3 0.215 0.000 0.548

***

Among the records above, which one has the highest M_tot?
PrDy6Ho6

***

Which formula does entry 4 have?
Pr4Dy4Ho3

***

Look up the M_tot of the third one.
2.95 μB/f.u.

***

The highest D(E_F) belongs to which entry?
Pr7Dy3Ho